Computed, not measured: DyTm6Al6 after structural relaxation at the PBE level of DFT.

a = 5.8621 Å, b = 5.8621 Å, c = 10.3632 Å
α = 90.00°, β = 90.00°, γ = 120.00°
Fractional positions:
1 Dy 0.0000 0.0000 0.0000
2 Tm 0.0000 0.0000 0.3352
3 Tm 0.0000 0.0000 0.6648
4 Tm 0.3333 0.6667 0.0000
5 Tm 0.3333 0.6667 0.5000
6 Tm 0.6667 0.3333 0.0000
7 Tm 0.6667 0.3333 0.5000
8 Al 0.0000 0.5000 0.2456
9 Al 0.0000 0.5000 0.7544
10 Al 0.5000 0.0000 0.2456
11 Al 0.5000 0.0000 0.7544
12 Al 0.5000 0.5000 0.2456
13 Al 0.5000 0.5000 0.7544

Total magnetic moment in μB/cell: 0.0
N(E_F) in states/eV per atom: 1.125
Raw total energy in eV per atom: -4.45
ΔH_f (0 K) in eV/f.u.: -3.99